# GaTc2Ni

Crystalline GaTc2Ni at its relaxed geometry (PBE, Alexandria).

Lattice parameters (Å, degrees): 9.473 9.473 9.473 16.35 16.35 16.35
Fractional coordinates of all 4 atoms:
Ga 0.000 0.000 0.000
Tc 0.413 0.413 0.413
Tc 0.587 0.587 0.587
Ni 0.500 0.500 0.500

## Properties
- Space-group type: R-3m, No. 166
- DFT formation energy: 0.486 eV/atom